## 1
# PBE-GGA AgHg2PO4, relaxed
# Volume ... 16.54 Å³/atom
data_AgHg2PO4
_cell_length_a 8.870
_cell_length_b 9.510
_cell_length_c 6.274
_cell_angle_alpha 90.00
_cell_angle_beta 90.00
_cell_angle_gamma 90.00
_symmetry_space_group_name_H-M 'P b a m'
_symmetry_Int_Tables_number 55
loop_
_symmetry_equiv_pos_as_xyz
'x,y,z'
'-x,-y,-z'
'-x,-y,z'
'x,y,-z'
'x+1/2,-y+1/2,-z'
'-x+1/2,y+1/2,z'
'-x+1/2,y+1/2,-z'
'x+1/2,-y+1/2,z'
loop_
_atom_site_label
_atom_site_type_symbol
_atom_site_fract_x
_atom_site_fract_y
_atom_site_fract_z
_atom_site_occupancy
Ag1 Ag 0.032 0.146 0.000 1
Hg1 Hg 0.249 0.965 0.214 1
P1 P 0.043 0.714 0.500 1
O1 O 0.050 0.299 0.291 1
O2 O 0.121 0.862 0.500 1
O3 O 0.166 0.594 0.500 1

***

## 2
# PBE-GGA AgHg2PO4, relaxed
# Volume ... 16.14 Å³/atom
data_AgHg2PO4
_cell_length_a 6.477
_cell_length_b 7.241
_cell_length_c 11.015
_cell_angle_alpha 90.00
_cell_angle_beta 90.00
_cell_angle_gamma 90.00
_symmetry_space_group_name_H-M 'F m m 2'
_symmetry_Int_Tables_number 42
_symmetry_space_group_name_Hall 'F 2 -2'
loop_
_atom_site_label
_atom_site_type_symbol
_atom_site_fract_x
_atom_site_fract_y
_atom_site_fract_z
_atom_site_occupancy
Ag1 Ag 0.000 0.000 0.000 1
Hg1 Hg 0.250 0.250 0.302 1
P1 P 0.000 0.000 0.562 1
O1 O 0.000 0.175 0.480 1
O2 O 0.199 0.000 0.644 1

***

Which structure is most stable? 1, by 180 meV/atom over the runner-up.